[1]
Density functional theory data (PBE) for a relaxed CaH4Cl2O2 crystal.

a = 6.0033 Å, b = 7.5660 Å, c = 12.2955 Å
α = 90.00°, β = 90.00°, γ = 90.00°
Positions (direct):
Ca1 0.0000 0.1815 0.2500
Ca2 0.0000 0.8185 0.7500
Ca3 0.5000 0.3185 0.7500
Ca4 0.5000 0.6815 0.2500
H1 0.0882 0.2524 0.6194
H2 0.0882 0.7476 0.1194
H3 0.2433 0.3542 0.5368
H4 0.2433 0.6458 0.0368
H5 0.2567 0.1458 0.0368
H6 0.2567 0.8542 0.5368
H7 0.4118 0.2476 0.1194
H8 0.4118 0.7524 0.6194
H9 0.5882 0.2476 0.3806
H10 0.5882 0.7524 0.8806
H11 0.7433 0.1458 0.4632
H12 0.7433 0.8542 0.9632
H13 0.7567 0.3542 0.9632
H14 0.7567 0.6458 0.4632
H15 0.9118 0.2524 0.8806
H16 0.9118 0.7476 0.3806
Cl1 0.2151 0.0915 0.8620
Cl2 0.2151 0.9085 0.3620
Cl3 0.2849 0.4085 0.3620
Cl4 0.2849 0.5915 0.8620
Cl5 0.7151 0.4085 0.1380
Cl6 0.7151 0.5915 0.6380
Cl7 0.7849 0.0915 0.6380
Cl8 0.7849 0.9085 0.1380
O1 0.2329 0.3135 0.6128
O2 0.2329 0.6865 0.1128
O3 0.2671 0.1865 0.1128
O4 0.2671 0.8135 0.6128
O5 0.7329 0.1865 0.3872
O6 0.7329 0.8135 0.8872
O7 0.7671 0.3135 0.8872
O8 0.7671 0.6865 0.3872

Summary:
The density comes out at 1.75 g cm⁻³. The calculation puts the total energy at -4.74 eV/atom. As for the volume: 558.5 Å³ per cell.

=====

[2]
Density functional theory data (PBE) for a relaxed ReBCl3 crystal.

a = 4.8078 Å, b = 4.8078 Å, c = 4.8078 Å
α = 90.00°, β = 90.00°, γ = 90.00°
Positions (direct):
Re1 0.0000 0.0000 0.0000
B1 0.5000 0.5000 0.5000
Cl1 0.0000 0.0000 0.5000
Cl2 0.0000 0.5000 0.0000
Cl3 0.5000 0.0000 0.0000

Summary:
The density comes out at 4.53 g cm⁻³. The calculation puts the total energy at -3.86 eV/atom. As for the volume: 111.1 Å³ per cell. For the uncorrected formation energy, the calculation gives 5.38 eV/f.u.

=====

[3]
Density functional theory data (PBE) for a relaxed RbSr2ZnF8 crystal.

a = 4.3437 Å, b = 8.2243 Å, c = 5.5883 Å
α = 90.00°, β = 99.32°, γ = 90.00°
Positions (direct):
Rb1 0.0000 0.0000 0.0000
Sr1 0.5000 0.2660 0.5000
Sr2 0.5000 0.7340 0.5000
Zn1 0.0000 0.5000 0.0000
F1 0.0580 0.3071 0.7601
F2 0.0580 0.6929 0.7601
F3 0.4069 0.5000 0.2170
F4 0.4354 0.0000 0.7029
F5 0.5646 0.0000 0.2971
F6 0.5931 0.5000 0.7830
F7 0.9420 0.3071 0.2399
F8 0.9420 0.6929 0.2399

Summary:
The density comes out at 4.03 g cm⁻³. The calculation puts the total energy at -4.66 eV/atom. As for the volume: 197.0 Å³ per cell. For the uncorrected formation energy, the calculation gives -35.33 eV/f.u.

=====

[4]
Density functional theory data (PBE) for a relaxed Ga12Ag3As5 crystal.

a = 13.1957 Å, b = 13.1957 Å, c = 13.1957 Å
α = 109.47°, β = 109.47°, γ = 109.47°
Positions (direct):
Ga1 0.0635 0.2354 0.1347
Ga2 0.0635 0.3280 0.9288
Ga3 0.0712 0.6347 0.3993
Ga4 0.0712 0.9365 0.6720
Ga5 0.1007 0.7354 0.6720
Ga6 0.1007 0.8653 0.4288
Ga7 0.1347 0.0635 0.2354
Ga8 0.1347 0.5712 0.8993
Ga9 0.1720 0.2354 0.6007
Ga10 0.1720 0.4365 0.5712
Ga11 0.2354 0.1347 0.0635
Ga12 0.2354 0.6007 0.1720
Ga13 0.2646 0.3280 0.8993
Ga14 0.2646 0.4365 0.3653
Ga15 0.3280 0.8993 0.2646
Ga16 0.3280 0.9288 0.0635
Ga17 0.3653 0.2646 0.4365
Ga18 0.3653 0.6007 0.9288
Ga19 0.3993 0.0712 0.6347
Ga20 0.3993 0.8280 0.7646
Ga21 0.4288 0.1007 0.8653
Ga22 0.4288 0.8280 0.5635
Ga23 0.4365 0.3653 0.2646
Ga24 0.4365 0.5712 0.1720
Ga25 0.5635 0.4288 0.8280
Ga26 0.5635 0.6347 0.7354
Ga27 0.5712 0.1720 0.4365
Ga28 0.5712 0.8993 0.1347
Ga29 0.6007 0.1720 0.2354
Ga30 0.6007 0.9288 0.3653
Ga31 0.6347 0.3993 0.0712
Ga32 0.6347 0.7354 0.5635
Ga33 0.6720 0.0712 0.9365
Ga34 0.6720 0.1007 0.7354
Ga35 0.7354 0.5635 0.6347
Ga36 0.7354 0.6720 0.1007
Ga37 0.7646 0.3993 0.8280
Ga38 0.7646 0.8653 0.9365
Ga39 0.8280 0.5635 0.4288
Ga40 0.8280 0.7646 0.3993
Ga41 0.8653 0.4288 0.1007
Ga42 0.8653 0.9365 0.7646
Ga43 0.8993 0.1347 0.5712
Ga44 0.8993 0.2646 0.3280
Ga45 0.9288 0.0635 0.3280
Ga46 0.9288 0.3653 0.6007
Ga47 0.9365 0.6720 0.0712
Ga48 0.9365 0.7646 0.8653
Ag1 0.1250 0.2500 0.3750
Ag2 0.1250 0.3750 0.7500
Ag3 0.2500 0.3750 0.1250
Ag4 0.2500 0.8750 0.6250
Ag5 0.3750 0.1250 0.2500
Ag6 0.3750 0.7500 0.1250
Ag7 0.6250 0.2500 0.8750
Ag8 0.6250 0.8750 0.7500
Ag9 0.7500 0.1250 0.3750
Ag10 0.7500 0.6250 0.8750
Ag11 0.8750 0.6250 0.2500
Ag12 0.8750 0.7500 0.6250
As1 0.0000 0.0000 0.0000
As2 0.0000 0.0000 0.5000
As3 0.0000 0.5000 0.0000
As4 0.0000 0.5000 0.5000
As5 0.1250 0.7500 0.8750
As6 0.1250 0.8750 0.2500
As7 0.2500 0.1250 0.8750
As8 0.2500 0.6250 0.3750
As9 0.3750 0.2500 0.6250
As10 0.3750 0.6250 0.7500
As11 0.5000 0.0000 0.0000
As12 0.5000 0.0000 0.5000
As13 0.5000 0.5000 0.0000
As14 0.5000 0.5000 0.5000
As15 0.6250 0.3750 0.2500
As16 0.6250 0.7500 0.3750
As17 0.7500 0.3750 0.6250
As18 0.7500 0.8750 0.1250
As19 0.8750 0.1250 0.7500
As20 0.8750 0.2500 0.1250

Summary:
The density comes out at 5.76 g cm⁻³. For the formation energy, the calculation gives -2 meV/atom. The calculation puts the total energy at -3.41 eV/atom. As for the volume: 1768.8 Å³ per cell.